## TaSi2N (GGA-PBE)

Data for a geometry-optimized TaSi2N structure.

Unit cell a=5.650 b=5.650 c=5.304 alpha=57.82 beta=57.82 gamma=90.00
Positions (direct):
Si 0.230 0.625 0.250
Si 0.375 0.480 0.750
Ta 0.750 0.250 0.500
N 0.250 0.750 0.500
Si 0.520 0.125 0.250
Ta 0.000 0.000 0.000
Si 0.875 0.770 0.750
N 0.500 0.500 0.000

Computed properties:
Fermi-level density of states: 1.6 states/eV/f.u.
symmetry: I-42d, No. 122
energy relative to the elements, uncorrected: 0.088 eV per atom